(1)
{"formula": "TmHfIrAu", "functional": "PBE-GGA", "state": "optimized geometry", "lattice": [[0.000, 3.400, 3.400], [3.400, 0.000, 3.400], [3.400, 3.400, 0.000]], "species": ["Tm", "Hf", "Ir", "Au"], "fractional_positions": [[0.000, 0.000, 0.000], [0.500, 0.500, 0.500], [0.750, 0.750, 0.750], [0.250, 0.250, 0.250]]}

(2)
{"formula": "HfZrIrAu", "functional": "PBE-GGA", "state": "optimized geometry", "lattice": [[0.000, 3.357, 3.357], [3.357, 0.000, 3.357], [3.357, 3.357, 0.000]], "species": ["Hf", "Zr", "Ir", "Au"], "fractional_positions": [[0.000, 0.000, 0.000], [0.500, 0.500, 0.500], [0.250, 0.250, 0.250], [0.750, 0.750, 0.750]]}

(3)
{"formula": "KHf2Au", "functional": "PBE-GGA", "state": "optimized geometry", "lattice": [[0.000, 3.501, 3.501], [3.501, 0.000, 3.501], [3.501, 3.501, 0.000]], "species": ["K", "Hf", "Hf", "Au"], "fractional_positions": [[0.000, 0.000, 0.000], [0.250, 0.250, 0.250], [0.750, 0.750, 0.750], [0.500, 0.500, 0.500]], "de_polymorph_ev_per_atom": 0.0000}

DFT total energy / eV/f.u.: -29.47; -33.11; -21.44
Formation enthalpy at 0 K / eV per formula unit: -2.91; -2.47; 2.84
Total magnetic moment / μB per cell: 0.00; 0.00; 0.00